# In2CoSnO6 | Alexandria | PBE with a Hubbard U | relaxed
data_In2CoSnO6
_symmetry_space_group_name_H-M 'R 3'
_symmetry_Int_Tables_number 146
_symmetry_space_group_name_Hall 'R 3'
_cell_length_a 5.4656
_cell_length_b 5.4656
_cell_length_c 14.4905
_cell_angle_alpha 90.00
_cell_angle_beta 90.00
_cell_angle_gamma 120.00
loop_
_atom_site_label
_atom_site_fract_x
_atom_site_fract_y
_atom_site_fract_z
In1 0.0000 0.0000 0.0000
In2 0.0000 0.0000 0.4992
Co1 0.0000 0.0000 0.2164
Sn1 0.0000 0.0000 0.7106
O1 0.0422 0.3550 0.7768
O2 0.0457 0.6810 0.2782
# Uncorrected energy: -176.82 eV/cell
# Crystal system: trigonal
# Magnetization: 9.08 μB per cell